[1]
DFT (PBE) results for crystalline Na2AgTe2 at its relaxed geometry.

abc: 4.2890 5.7935 6.4181
angles: 73.52 90.01 111.72
Fractional positions:
1 Na 0.1525 0.3048 0.2395
2 Te 0.8594 0.7186 0.2643
3 Te 0.1406 0.2814 0.7357
4 Ag 0.5000 0.0000 0.0000
5 Na 0.8475 0.6952 0.7605

Results
The space group is C2/m, No. 12. As for the total energy: -14.4 eV per cell.

=====

[2]
DFT (PBE) results for crystalline TmSb2Pt at its relaxed geometry.

abc: 10.3822 10.3822 10.3822
angles: 155.02 155.02 35.62
Fractional positions:
1 Sb 0.5866 0.6250 0.4616
2 Sb 0.3750 0.8366 0.9616
3 Tm 0.0000 0.0000 0.0000
4 Sb 0.8750 0.4134 0.0384
5 Tm 0.7500 0.2500 0.5000
6 Pt 0.2500 0.7500 0.5000
7 Sb 0.1634 0.1250 0.5384
8 Pt 0.5000 0.5000 0.0000

Results
The space group is I-42d, No. 122. As for the total energy: -41.1 eV per cell.

=====

[3]
DFT (PBE) results for crystalline Cs4Ta2S11 at its relaxed geometry.

abc: 14.1180 8.0906 18.6232
angles: 90.00 90.00 90.00
Fractional positions:
1 S 0.2585 0.4097 0.6957
2 S 0.3936 0.5604 0.0428
3 Ta 0.0738 0.2637 0.5289
4 S 0.4280 0.4094 0.3101
5 Cs 0.0753 0.1839 0.9709
6 S 0.0364 0.0492 0.6216
7 Cs 0.2651 0.6652 0.8725
8 Cs 0.7349 0.3348 0.3725
9 S 0.9636 0.9508 0.1216
10 Cs 0.0434 0.1986 0.2731
11 S 0.6698 0.9614 0.4758
12 S 0.8120 0.7325 0.9269
13 Cs 0.9566 0.8014 0.7731
14 S 0.5280 0.5429 0.6268
15 S 0.1872 0.0110 0.7771
16 S 0.4636 0.0492 0.1216
17 S 0.5364 0.9508 0.6216
18 S 0.7422 0.7602 0.6122
19 Cs 0.2090 0.8048 0.1216
20 Cs 0.7910 0.1952 0.6216
21 Cs 0.2910 0.8048 0.6216
22 S 0.2578 0.2398 0.1122
23 S 0.9381 0.2536 0.4651
24 Cs 0.7090 0.1952 0.1216
25 Cs 0.4247 0.1839 0.4709
26 S 0.0334 0.7392 0.2656
27 Cs 0.5753 0.8161 0.9709
28 S 0.9280 0.5906 0.3101
29 S 0.7578 0.7602 0.1122
30 S 0.1698 0.0386 0.4758
31 S 0.9720 0.5429 0.1268
32 S 0.9666 0.2608 0.7656
33 S 0.8302 0.9614 0.9758
34 S 0.8128 0.9890 0.2771
35 S 0.2422 0.2398 0.6122
36 Ta 0.5738 0.7363 0.5289
37 S 0.5720 0.5906 0.8101
38 Ta 0.6248 0.7808 0.7119
39 Cs 0.2349 0.6652 0.3725
40 S 0.1880 0.2675 0.4269
41 Cs 0.4566 0.1986 0.7731
42 S 0.3128 0.0110 0.2771
43 S 0.2415 0.4097 0.1957
44 S 0.5334 0.2608 0.2656
45 S 0.3302 0.0386 0.9758
46 S 0.3120 0.2675 0.9269
47 Ta 0.3752 0.2192 0.2119
48 S 0.0619 0.7464 0.9651
49 S 0.8936 0.4396 0.0428
50 Cs 0.5434 0.8014 0.2731
51 S 0.4666 0.7392 0.7656
52 Ta 0.1248 0.2192 0.7119
53 S 0.6872 0.9890 0.7771
54 Ta 0.9262 0.7363 0.0289
55 S 0.0720 0.4094 0.8101
56 S 0.6064 0.4396 0.5428
57 Cs 0.9247 0.8161 0.4709
58 Ta 0.8752 0.7808 0.2119
59 S 0.4720 0.4571 0.1268
60 S 0.6880 0.7325 0.4269
61 Ta 0.4262 0.2637 0.0289
62 S 0.7415 0.5903 0.1957
63 S 0.1064 0.5604 0.5428
64 S 0.0280 0.4571 0.6268
65 Cs 0.7651 0.3348 0.8725
66 S 0.4381 0.7464 0.4651
67 S 0.7585 0.5903 0.6957
68 S 0.5619 0.2536 0.9651

Results
The space group is Pca2_1, No. 29. As for the total energy: -355.8 eV per cell.

=====

[4]
DFT (PBE) results for crystalline Ba2HoB2ClO6 at its relaxed geometry.

abc: 6.4093 5.3005 11.2556
angles: 90.00 96.49 90.00
Fractional positions:
1 O 0.6747 0.4707 0.4346
2 Ba 0.3411 0.2500 0.0738
3 Cl 0.1487 0.7500 0.9147
4 O 0.6747 0.0293 0.4346
5 O 0.7090 0.0269 0.7371
6 B 0.2099 0.7500 0.5731
7 O 0.4735 0.2500 0.8535
8 Ba 0.0922 0.2500 0.7071
9 O 0.9940 0.2500 0.4051
10 Ho 0.6519 0.7500 0.5867
11 O 0.2910 0.9731 0.2629
12 O 0.2910 0.5269 0.2629
13 O 0.3253 0.5293 0.5654
14 Ho 0.3481 0.2500 0.4133
15 Ba 0.9078 0.7500 0.2929
16 B 0.3773 0.7500 0.2259
17 Ba 0.6589 0.7500 0.9262
18 Cl 0.8513 0.2500 0.0853
19 B 0.7901 0.2500 0.4269
20 B 0.6227 0.2500 0.7741
21 O 0.7090 0.4731 0.7371
22 O 0.3253 0.9707 0.5654
23 O 0.5265 0.7500 0.1465
24 O 0.0060 0.7500 0.5949

Results
The space group is P2_1/m, No. 11. As for the total energy: -176.9 eV per cell.

=====

Computed values of volume (unit: Å³/atom) for the preceding records, in sequence: 28.22 24.92 31.28 15.83.